KWBr4 | meta-GGA SCAN | PBEsol geometry

Cell lengths 8.8436, 8.8436, 8.8436 Å; angles 90.00, 90.00, 90.00 degrees
Space group F-43m (No. 216)
Symmetry-distinct sites (fractional):
K 0.0000 0.0000 0.0000 (multiplicity 4)
W 0.2500 0.2500 0.2500 (multiplicity 4)
Br 0.1242 0.1242 0.6242 (multiplicity 16)

E_form (uncorrected) = 0.9074 eV/atom
total magnetization = 1.165 μB per atom